{"formula": "Hf2RhI", "functional": "PBE", "state": "optimized geometry", "raw_formation_energy_kj_per_mol_atoms": 3.6, "dos_ef_per_ev_cell": 4.33, "space_group": "Fm-3m, No. 225", "magnetic_moment_mub_per_fu": 0.000, "cell": [[0.0000, 3.4309, 3.4309], [3.4309, 0.0000, 3.4309], [3.4309, 3.4309, 0.0000]], "species": ["I", "Rh", "Hf", "Hf"], "fractional_positions": [[0.5000, 0.5000, 0.5000], [0.0000, 0.0000, 0.0000], [0.2500, 0.2500, 0.2500], [0.7500, 0.7500, 0.7500]]}